An optimized crystal structure of MgAgRh2. Source: Alexandria via LeMat-Bulk, functional GGA-PBE.

Geometry as CIF:
```
data_MgAgRh2
_chemical_formula_sum 'Mg4 Ag4 Rh8'
_cell_length_a 6.329
_cell_length_b 6.329
_cell_length_c 6.329
_cell_angle_alpha 90.00
_cell_angle_beta 90.00
_cell_angle_gamma 90.00
_symmetry_space_group_name_H-M 'F -4 3 m'
_symmetry_Int_Tables_number 216
_symmetry_space_group_name_Hall 'F -4 2 3'
loop_
_atom_site_label
_atom_site_type_symbol
_atom_site_fract_x
_atom_site_fract_y
_atom_site_fract_z
Mg1 Mg 0.000 0.000 0.000
Ag1 Ag 0.250 0.250 0.750
Rh1 Rh 0.000 0.000 0.500
Rh2 Rh 0.250 0.250 0.250
```

As for the magnetic moment: 0.3100 μB/atom. The calculation puts the energy of formation from the pure elements at -3.6 kJ per mole of atoms.